Entry 1:
## CaGa3CuAu (PBE-GGA)

Data for an optimized crystal structure of CaGa3CuAu.

POSCAR file:
```
CaGa3CuAu
1.0
3.051 -6.429 0.000
3.051 6.429 0.000
0.000 0.000 5.947
Ca Ga Cu Au
2 6 2 2
direct
0.215 0.785 0.750
0.785 0.215 0.250
0.209 0.209 0.000
0.209 0.209 0.500
0.366 0.634 0.250
0.634 0.366 0.750
0.791 0.791 0.000
0.791 0.791 0.500
0.432 0.568 0.750
0.568 0.432 0.250
0.162 0.838 0.250
0.838 0.162 0.750
```

Summary:
- Formation enthalpy at 0 K: -0.2482 eV/atom


Entry 2:
## TlNiPd3 (PBE-GGA)

Data for an optimized crystal structure of TlNiPd3.

POSCAR file:
```
TlNiPd3
1.0
5.030 0.000 0.000
0.000 5.030 0.000
0.000 0.000 5.030
Tl Ni Pd
1 1 3
direct
0.000 0.000 0.000
0.500 0.500 0.500
0.000 0.000 0.500
0.000 0.500 0.000
0.500 0.000 0.000
```

Summary:
- Formation enthalpy at 0 K: 1.2726 eV/atom


Entry 3:
## RbPbSeBr2 (PBE-GGA)

Data for an optimized crystal structure of RbPbSeBr2.

POSCAR file:
```
RbPbSeBr2
1.0
5.962 0.000 0.000
0.000 5.962 0.000
0.000 0.000 5.495
Rb Pb Se Br
1 1 1 2
direct
0.000 0.000 0.000
0.500 0.500 0.500
0.500 0.500 0.000
0.000 0.500 0.500
0.500 0.000 0.500
```

Summary:
- Formation energy without anion corrections: -0.844 eV/atom


no.,DOS at the Fermi energy (states/eV per atom),magnetic moment (μB/cell)
1,0.267,0.00
2,2.100,0.93
3,1.312,0.31